# 1
ZrTi2Si | PBE | relaxed

energy relative to the elements, uncorrected = 11 kJ/mol of formula units
density of states at the Fermi level = 15.868 states/eV per cell
E_tot = -118.6 eV for the cell shown
volume = 18.84 Å³/atom

Cell lengths 7.530, 7.530, 5.315 Å; angles 90.00, 90.00, 90.00 degrees
Fractional coordinates of all 16 atoms:
Zr  0.000  0.000  0.000
Zr  0.000  0.500  0.250
Zr  0.500  0.000  0.750
Zr  0.500  0.500  0.500
Ti  0.204  0.250  0.625
Ti  0.250  0.704  0.875
Ti  0.250  0.796  0.375
Ti  0.296  0.250  0.125
Ti  0.704  0.750  0.125
Ti  0.750  0.204  0.375
Ti  0.750  0.296  0.875
Ti  0.796  0.750  0.625
Si  0.000  0.000  0.500
Si  0.000  0.500  0.750
Si  0.500  0.000  0.250
Si  0.500  0.500  0.000

=====

# 2
ZrTi2Si | PBE | relaxed

energy relative to the elements, uncorrected = -201 kJ/mol of formula units
density of states at the Fermi level = 19.142 states/eV per cell
E_tot = -127.4 eV for the cell shown
volume = 17.78 Å³/atom

Cell lengths 3.519, 10.179, 7.943 Å; angles 90.00, 90.00, 90.00 degrees
Fractional coordinates of all 16 atoms:
Zr  0.000  0.056  0.250
Zr  0.000  0.944  0.750
Zr  0.500  0.444  0.750
Zr  0.500  0.556  0.250
Ti  0.000  0.361  0.041
Ti  0.000  0.361  0.459
Ti  0.000  0.639  0.541
Ti  0.000  0.639  0.959
Ti  0.500  0.139  0.541
Ti  0.500  0.139  0.959
Ti  0.500  0.861  0.041
Ti  0.500  0.861  0.459
Si  0.000  0.232  0.750
Si  0.000  0.768  0.250
Si  0.500  0.268  0.250
Si  0.500  0.732  0.750

=====

# 3
ZrTi4Si2 | PBE | relaxed

energy relative to the elements, uncorrected = -6 kJ/mol of formula units
density of states at the Fermi level = 14.100 states/eV per cell
E_tot = -102.1 eV for the cell shown
volume = 18.19 Å³/atom

Cell lengths 3.696, 3.696, 18.645 Å; angles 90.00, 90.00, 90.00 degrees
Fractional coordinates of all 14 atoms:
Zr  0.000  0.000  0.000
Zr  0.500  0.500  0.500
Ti  0.000  0.000  0.133
Ti  0.000  0.000  0.867
Ti  0.000  0.500  0.250
Ti  0.000  0.500  0.750
Ti  0.500  0.000  0.250
Ti  0.500  0.000  0.750
Ti  0.500  0.500  0.367
Ti  0.500  0.500  0.633
Si  0.000  0.000  0.364
Si  0.000  0.000  0.636
Si  0.500  0.500  0.136
Si  0.500  0.500  0.864

=====

# 4
Zr2Ti2Si | PBE | relaxed

energy relative to the elements, uncorrected = -86 kJ/mol of formula units
density of states at the Fermi level = 8.566 states/eV per cell
E_tot = -78.4 eV for the cell shown
volume = 18.83 Å³/atom

Cell lengths 6.787, 6.787, 4.089 Å; angles 90.00, 90.00, 90.00 degrees
Fractional coordinates of all 10 atoms:
Zr  0.169  0.331  0.000
Zr  0.331  0.831  0.000
Zr  0.669  0.169  0.000
Zr  0.831  0.669  0.000
Ti  0.138  0.638  0.500
Ti  0.362  0.138  0.500
Ti  0.638  0.862  0.500
Ti  0.862  0.362  0.500
Si  0.000  0.000  0.500
Si  0.500  0.500  0.500

=====

# 5
Zr2TiSi2 | PBE | relaxed

energy relative to the elements, uncorrected = -408 kJ/mol of formula units
density of states at the Fermi level = 11.123 states/eV per cell
E_tot = -80.1 eV for the cell shown
volume = 17.75 Å³/atom

Cell lengths 6.874, 6.874, 3.758 Å; angles 90.00, 90.00, 90.00 degrees
Fractional coordinates of all 10 atoms:
Zr  0.174  0.326  0.000
Zr  0.326  0.826  0.000
Zr  0.674  0.174  0.000
Zr  0.826  0.674  0.000
Ti  0.000  0.000  0.500
Ti  0.500  0.500  0.500
Si  0.126  0.626  0.500
Si  0.374  0.126  0.500
Si  0.626  0.874  0.500
Si  0.874  0.374  0.500

=====

# 6
ZrTiSi2 | PBE | relaxed

energy relative to the elements, uncorrected = -314 kJ/mol of formula units
density of states at the Fermi level = 1.801 states/eV per cell
E_tot = -61.1 eV for the cell shown
volume = 16.45 Å³/atom

Cell lengths 3.721, 5.187, 6.816 Å; angles 90.00, 90.00, 90.00 degrees
Fractional coordinates of all 8 atoms:
Zr  0.000  0.122  0.000
Zr  0.000  0.878  0.500
Ti  0.500  0.374  0.351
Ti  0.500  0.626  0.851
Si  0.000  0.396  0.631
Si  0.000  0.604  0.131
Si  0.500  0.115  0.718
Si  0.500  0.885  0.218

=====

# 7
TlSi | PBE | relaxed

energy relative to the elements, uncorrected = 68 kJ/mol of formula units
density of states at the Fermi level = 4.699 states/eV per cell
E_tot = -56.7 eV for the cell shown
volume = 27.72 Å³/atom

Cell lengths 10.280, 10.280, 4.197 Å; angles 90.00, 90.00, 90.00 degrees
Fractional coordinates of all 16 atoms:
Tl  0.051  0.783  0.000
Tl  0.217  0.051  0.000
Tl  0.305  0.648  0.500
Tl  0.352  0.305  0.500
Tl  0.648  0.695  0.500
Tl  0.695  0.352  0.500
Tl  0.783  0.949  0.000
Tl  0.949  0.217  0.000
Si  0.062  0.394  0.500
Si  0.121  0.497  0.000
Si  0.394  0.938  0.500
Si  0.497  0.879  0.000
Si  0.503  0.121  0.000
Si  0.606  0.062  0.500
Si  0.879  0.503  0.000
Si  0.938  0.606  0.500

=====

# 8
Tl3Si | PBE | relaxed

energy relative to the elements, uncorrected = 113 kJ/mol of formula units
density of states at the Fermi level = 4.796 states/eV per cell
E_tot = -22.7 eV for the cell shown
E above lowest polymorph = 0 meV per atom
volume = 27.33 Å³/atom

Cell lengths 4.997, 5.012, 8.730 Å; angles 90.00, 90.00, 90.00 degrees
Fractional coordinates of all 8 atoms:
Tl  0.000  0.000  0.000
Tl  0.000  0.500  0.290
Tl  0.000  0.500  0.710
Tl  0.500  0.000  0.290
Tl  0.500  0.000  0.710
Tl  0.500  0.500  0.000
Si  0.000  0.000  0.500
Si  0.500  0.500  0.500

=====

# 9
Tl3Si | PBE | relaxed

energy relative to the elements, uncorrected = 141 kJ/mol of formula units
density of states at the Fermi level = 1.064 states/eV per cell
E_tot = -11.1 eV for the cell shown
E above lowest polymorph = 73 meV per atom
volume = 27.23 Å³/atom

Cell lengths 4.776, 4.776, 4.776 Å; angles 90.00, 90.00, 90.00 degrees
Fractional coordinates of all 4 atoms:
Tl  0.000  0.000  0.500
Tl  0.000  0.500  0.000
Tl  0.500  0.000  0.000
Si  0.500  0.500  0.500

=====

# 10
TlSi | PBE | relaxed

energy relative to the elements, uncorrected = 67 kJ/mol of formula units
density of states at the Fermi level = 1.255 states/eV per cell
E_tot = -14.2 eV for the cell shown
volume = 27.76 Å³/atom

Cell lengths 3.726, 4.162, 7.161 Å; angles 90.00, 90.00, 90.00 degrees
Fractional coordinates of all 4 atoms:
Tl  0.250  0.000  0.212
Tl  0.750  0.000  0.788
Si  0.250  0.500  0.600
Si  0.750  0.500  0.400

=====

# 11
Tl4Si | PBE | relaxed

energy relative to the elements, uncorrected = 163 kJ/mol of formula units
density of states at the Fermi level = 2.913 states/eV per cell
E_tot = -13.2 eV for the cell shown
volume = 32.08 Å³/atom

Cell lengths 5.433, 5.433, 5.433 Å; angles 90.00, 90.00, 90.00 degrees
Fractional coordinates of all 5 atoms:
Tl  0.000  0.000  0.000
Tl  0.000  0.500  0.500
Tl  0.500  0.000  0.500
Tl  0.500  0.500  0.000
Si  0.500  0.500  0.500

=====

# 12
TlSi | PBE | relaxed

energy relative to the elements, uncorrected = 128 kJ/mol of formula units
density of states at the Fermi level = 0.808 states/eV per cell
E_tot = -6.5 eV for the cell shown
volume = 23.32 Å³/atom

Cell lengths 3.599, 3.599, 3.599 Å; angles 90.00, 90.00, 90.00 degrees
Fractional coordinates of all 2 atoms:
Tl  0.000  0.000  0.000
Si  0.500  0.500  0.500